A relaxed structure of NbVN2F. Source: Alexandria via LeMat-Bulk, functional GGA+U.

Unit cell a=3.925 b=3.925 c=3.712 alpha=90.00 beta=90.00 gamma=90.00
Each line ends with the local moment (μB).
Fractional coordinates of all 5 atoms:
N1 0.000 0.500 0.000  -0.19
N2 0.500 0.000 0.000  -0.19
Nb1 0.500 0.500 0.500  1.67
F1 0.000 0.000 0.500  0.06
V1 0.000 0.000 0.000  1.39

E above lowest polymorph = 0 meV per atom
total energy = -36.54 eV/cell
total magnetic moment = 2.963 Bohr magnetons per cell
crystal system = tetragonal